# 1
Density functional theory data (PBE-GGA) for crystalline Ce3Cu at its relaxed geometry.

```
Ce3Cu
1.0
-4.261 -1.105 -3.476
-4.611 -1.505 2.815
3.536 4.327 0.472
Ce Cu
3 1
direct
0.750 0.250 0.500 Ce
0.250 0.750 0.500 Ce
0.500 0.500 0.000 Ce
0.000 0.000 0.000 Cu
```

Results
The value obtained for the raw total energy is -5.371 eV per atom. The energy of formation from the pure elements is 0.10 eV per atom. As for the volume: 92 Å³/f.u.

***

# 2
Density functional theory data (PBE-GGA) for crystalline CeCu12 at its relaxed geometry.

```
CeCu12
1.0
-2.742 -4.014 -0.433
-0.554 -3.194 5.616
-6.274 1.198 1.122
Ce Cu
1 12
direct
0.000 0.000 0.000 Ce
0.500 0.000 0.500 Cu
0.000 0.000 0.500 Cu
0.500 0.500 0.000 Cu
0.000 0.500 0.000 Cu
0.000 0.645 0.355 Cu
0.000 0.355 0.645 Cu
0.645 0.355 0.355 Cu
0.355 0.645 0.645 Cu
0.500 0.225 0.775 Cu
0.500 0.775 0.225 Cu
0.725 0.775 0.775 Cu
0.275 0.225 0.225 Cu
```

Results
The value obtained for the raw total energy is -4.283 eV per atom. The energy of formation from the pure elements is -0.05 eV per atom. As for the volume: 176 Å³/f.u.

***

# 3
Density functional theory data (PBE-GGA) for crystalline CeCu6 at its relaxed geometry.

```
CeCu6
1.0
5.042 0.000 0.000
0.000 8.080 0.000
0.000 0.000 10.120
Ce Cu
4 24
direct
0.250 0.259 0.565 Ce
0.750 0.741 0.435 Ce
0.250 0.759 0.935 Ce
0.750 0.241 0.065 Ce
0.250 0.901 0.484 Cu
0.750 0.099 0.516 Cu
0.250 0.401 0.016 Cu
0.750 0.599 0.984 Cu
0.505 0.065 0.308 Cu
0.005 0.935 0.692 Cu
0.995 0.565 0.192 Cu
0.495 0.435 0.808 Cu
0.495 0.935 0.692 Cu
0.995 0.065 0.308 Cu
0.005 0.435 0.808 Cu
0.505 0.565 0.192 Cu
0.750 0.354 0.357 Cu
0.250 0.646 0.643 Cu
0.750 0.854 0.143 Cu
0.250 0.146 0.857 Cu
0.750 0.682 0.745 Cu
0.250 0.318 0.255 Cu
0.750 0.182 0.755 Cu
0.250 0.818 0.245 Cu
0.750 0.939 0.905 Cu
0.250 0.061 0.095 Cu
0.750 0.439 0.595 Cu
0.250 0.561 0.405 Cu
```

Results
The value obtained for the raw total energy is -4.474 eV per atom. The energy of formation from the pure elements is -0.12 eV per atom. As for the volume: 103 Å³/f.u.

***

# 4
Density functional theory data (PBE-GGA) for crystalline CeCu3 at its relaxed geometry.

```
CeCu3
1.0
4.200 0.000 0.000
-2.100 4.783 0.000
0.000 0.000 6.677
Ce Cu
2 6
direct
0.579 0.159 0.250 Ce
0.421 0.841 0.750 Ce
0.710 0.421 0.750 Cu
0.290 0.579 0.250 Cu
0.133 0.265 0.560 Cu
0.867 0.735 0.440 Cu
0.133 0.265 0.940 Cu
0.867 0.735 0.060 Cu
```

Results
The value obtained for the raw total energy is -4.694 eV per atom. The energy of formation from the pure elements is -0.14 eV per atom. As for the volume: 67 Å³/f.u.

***

# 5
Density functional theory data (PBE-GGA) for crystalline Ce2Cu17 at its relaxed geometry.

```
Ce2Cu17
1.0
6.446 -0.051 0.865
0.750 6.402 0.865
-0.058 -0.051 6.503
Ce Cu
2 17
direct
0.344 0.344 0.344 Ce
0.656 0.656 0.656 Ce
0.655 0.655 0.152 Cu
0.152 0.655 0.655 Cu
0.902 0.902 0.902 Cu
0.098 0.098 0.098 Cu
0.000 0.000 0.500 Cu
0.000 0.500 0.000 Cu
0.500 0.000 0.000 Cu
0.293 0.707 0.000 Cu
0.707 0.000 0.293 Cu
0.000 0.293 0.707 Cu
0.707 0.293 0.000 Cu
0.293 0.000 0.707 Cu
0.000 0.707 0.293 Cu
0.848 0.345 0.345 Cu
0.345 0.345 0.848 Cu
0.345 0.848 0.345 Cu
0.655 0.152 0.655 Cu
```

Results
The value obtained for the raw total energy is -4.356 eV per atom. The energy of formation from the pure elements is -0.07 eV per atom. As for the volume: 269 Å³/f.u.

***

# 6
Density functional theory data (PBE-GGA) for crystalline CeCu2 at its relaxed geometry.

```
CeCu2
1.0
-0.041 -3.337 -4.372
0.915 -4.110 3.540
-4.250 3.408 -0.761
Ce Cu
2 4
direct
0.726 0.476 0.250 Ce
0.274 0.524 0.750 Ce
0.701 0.166 0.535 Cu
0.299 0.834 0.465 Cu
0.131 0.166 0.965 Cu
0.869 0.834 0.035 Cu
```

Results
The value obtained for the raw total energy is -4.854 eV per atom. The energy of formation from the pure elements is -0.15 eV per atom. As for the volume: 55 Å³/f.u.

***

Q: Number 6 is which compound?
A: CeCu2

***

Repeat the second record exactly.
Density functional theory data (PBE-GGA) for crystalline CeCu12 at its relaxed geometry.

```
CeCu12
1.0
-2.742 -4.014 -0.433
-0.554 -3.194 5.616
-6.274 1.198 1.122
Ce Cu
1 12
direct
0.000 0.000 0.000 Ce
0.500 0.000 0.500 Cu
0.000 0.000 0.500 Cu
0.500 0.500 0.000 Cu
0.000 0.500 0.000 Cu
0.000 0.645 0.355 Cu
0.000 0.355 0.645 Cu
0.645 0.355 0.355 Cu
0.355 0.645 0.645 Cu
0.500 0.225 0.775 Cu
0.500 0.775 0.225 Cu
0.725 0.775 0.775 Cu
0.275 0.225 0.225 Cu
```

Results
The value obtained for the raw total energy is -4.283 eV per atom. The energy of formation from the pure elements is -0.05 eV per atom. As for the volume: 176 Å³/f.u.

***

Q: Number 6 is which compound?
A: CeCu2